A geometry-optimized LiAc2Cr2N6 structure, computed with GGA-PBE.

```
data_LiAc2Cr2N6
_symmetry_space_group_name_H-M 'P 1'
_symmetry_Int_Tables_number 1
_cell_length_a 7.626
_cell_length_b 6.319
_cell_length_c 7.303
_cell_angle_alpha 121.72
_cell_angle_beta 89.93
_cell_angle_gamma 53.10
loop_
_symmetry_equiv_pos_as_xyz
'x,y,z'
loop_
_atom_site_label
_atom_site_fract_x
_atom_site_fract_y
_atom_site_fract_z
N1 0.576 0.498 0.205
N2 0.900 0.199 0.398
N3 0.078 0.497 0.792
N4 0.100 0.801 0.602
N5 0.922 0.503 0.208
N6 0.424 0.502 0.795
Li1 0.500 0.000 0.500
Ac1 0.219 0.562 0.163
Ac2 0.781 0.438 0.837
Cr1 0.152 0.696 0.782
Cr2 0.848 0.304 0.218
```

Output
- spin magnetization (μB/atom) = 0.000
- formation energy without anion corrections (eV/f.u.) = -5.2
- volume (Å³/f.u.) = 211.8